Pr6IrOs2Cl3 | PBE | optimized geometry

## Properties
Energy relative to the elements, uncorrected = -0.88 eV/atom
Uncorrected energy = -6.339 eV/atom

a = 7.167 Å, b = 7.167 Å, c = 7.983 Å
α = 98.60°, β = 98.60°, γ = 120.03°
Atoms (fractional coordinates):
Pr (0.932, 0.594, 0.794)
Pr (0.731, 0.731, 0.206)
Pr (0.068, 0.406, 0.206)
Pr (0.594, 0.932, 0.794)
Pr (0.269, 0.269, 0.794)
Pr (0.406, 0.068, 0.206)
Ir (0.000, 0.000, 0.000)
Os (0.334, 0.666, 0.000)
Os (0.666, 0.334, 0.000)
Cl (0.170, 0.830, 0.500)
Cl (0.830, 0.170, 0.500)
Cl (0.500, 0.500, 0.500)